CsRb2V3F12 | PBE with a Hubbard U | relaxed

extended XYZ file:
```
18
Lattice="7.759 0.088 0.062 3.908 6.703 0.062 3.908 2.275 6.306" Properties=species:S:1:pos:R:3 pbc="T T T"
Cs 0.000 0.000 0.000
Rb 9.727 5.662 4.016
Rb 5.847 3.403 2.414
V 3.879 0.044 0.031
V 1.954 3.352 0.031
V 1.954 1.137 3.153
F 6.728 3.916 5.673
F 11.981 6.974 3.022
F 10.402 7.871 5.583
F 9.104 2.567 1.821
F 11.981 5.158 5.583
F 6.728 6.649 1.821
F 8.846 5.149 0.757
F 3.593 2.091 3.408
F 5.172 1.194 0.847
F 6.470 6.498 4.609
F 3.593 3.908 0.847
F 8.846 2.417 4.609
```

## Properties
DFT total energy   -5.5464 eV/atom